A plane-wave DFT calculation with PBE was carried out for SmErTm after structural relaxation.

Properties
Its volume is 37.00 Å³ per atom. Its energy above the lowest structure with this stoichiometry is 0.000 eV per atom. As for the total energy: -3.87 eV per atom. For the magnetic moment, the calculation gives 0.00 μB/f.u.

Cell: 7.629 7.629 7.629 Å, 90.00 90.00 90.00°
Space group F-43m (No. 216)
Symmetry-distinct sites (fractional):
Sm 0.000 0.000 0.000 (multiplicity 4)
Er 0.000 0.000 0.500 (multiplicity 4)
Tm 0.250 0.250 0.750 (multiplicity 4)


A plane-wave DFT calculation with PBE was carried out for SmErTm2 after structural relaxation.

Properties
Its volume is 33.01 Å³ per atom. As for the total energy: -3.77 eV per atom. For the magnetic moment, the calculation gives 1.12 μB/f.u.

Cell: 4.530 4.530 6.433 Å, 90.00 90.00 90.00°
Space group P4/mmm (No. 123)
Symmetry-distinct sites (fractional):
Sm 0.000 0.000 0.000 (multiplicity 1)
Er 0.500 0.500 0.500 (multiplicity 1)
Tm 0.000 0.000 0.500 (multiplicity 1)
Tm 0.500 0.500 0.000 (multiplicity 1)


A plane-wave DFT calculation with PBE was carried out for SmErZn4 after structural relaxation.

Properties
Its volume is 20.31 Å³ per atom. Its energy above the lowest structure with this stoichiometry is 0.011 eV per atom. As for the total energy: -2.76 eV per atom. For the magnetic moment, the calculation gives 0.17 μB/f.u.

Cell: 3.491 4.487 7.779 Å, 90.00 90.00 90.00°
Space group Pmmm (No. 47)
Symmetry-distinct sites (fractional):
Sm 0.000 0.000 0.000 (multiplicity 1)
Er 0.000 0.500 0.500 (multiplicity 1)
Zn 0.500 0.000 0.338 (multiplicity 2)
Zn 0.500 0.500 0.172 (multiplicity 2)


A plane-wave DFT calculation with PBE was carried out for SmErZn4 after structural relaxation.

Properties
Its volume is 20.18 Å³ per atom. Its energy above the lowest structure with this stoichiometry is 0.000 eV per atom. As for the total energy: -2.77 eV per atom. For the magnetic moment, the calculation gives 0.01 μB/f.u.

Cell: 4.481 7.151 7.558 Å, 90.00 90.00 90.00°
Space group Imm2 (No. 44)
Symmetry-distinct sites (fractional):
Sm 0.000 0.000 0.000 (multiplicity 2)
Er 0.000 0.500 0.939 (multiplicity 2)
Zn 0.000 0.204 0.631 (multiplicity 4)
Zn 0.000 0.294 0.299 (multiplicity 4)


A plane-wave DFT calculation with PBE was carried out for SmErZr after structural relaxation.

Properties
Its volume is 32.90 Å³ per atom. Its energy above the lowest structure with this stoichiometry is 0.000 eV per atom. As for the total energy: -5.01 eV per atom. For the magnetic moment, the calculation gives 0.39 μB/f.u.

Cell: 7.336 7.336 7.336 Å, 90.00 90.00 90.00°
Space group F-43m (No. 216)
Symmetry-distinct sites (fractional):
Sm 0.000 0.000 0.000 (multiplicity 4)
Er 0.250 0.250 0.250 (multiplicity 4)
Zr 0.000 0.000 0.500 (multiplicity 4)


A plane-wave DFT calculation with PBE was carried out for ErSn after structural relaxation.

Properties
Its volume is 41.35 Å³ per atom. As for the total energy: -3.96 eV per atom. For the magnetic moment, the calculation gives 0.98 μB/f.u.

Cell: 6.916 6.916 6.916 Å, 90.00 90.00 90.00°
Space group F-43m (No. 216)
Symmetry-distinct sites (fractional):
Er 0.000 0.000 0.000 (multiplicity 4)
Sn 0.250 0.250 0.750 (multiplicity 4)


A plane-wave DFT calculation with PBE was carried out for Er11Sn10 after structural relaxation.

Properties
Its volume is 26.68 Å³ per atom. As for the total energy: -5.00 eV per atom. For the magnetic moment, the calculation gives 0.09 μB/f.u.

Cell: 11.530 11.530 16.860 Å, 90.00 90.00 90.00°
Space group I4/mmm (No. 139)
Symmetry-distinct sites (fractional):
Er 0.000 0.000 0.167 (multiplicity 4)
Er 0.000 0.251 0.312 (multiplicity 16)
Er 0.000 0.332 0.102 (multiplicity 16)
Er 0.173 0.173 0.500 (multiplicity 8)
Sn 0.000 0.000 0.388 (multiplicity 4)
Sn 0.000 0.355 0.500 (multiplicity 8)
Sn 0.000 0.500 0.250 (multiplicity 4)
Sn 0.130 0.130 0.000 (multiplicity 8)
Sn 0.206 0.206 0.175 (multiplicity 16)


A plane-wave DFT calculation with PBE was carried out for ErSn after structural relaxation.

Properties
Its volume is 27.02 Å³ per atom. As for the total energy: -4.74 eV per atom. For the magnetic moment, the calculation gives 0.33 μB/f.u.

Cell: 3.5433 3.5433 4.9701 Å, 90.00 90.00 120.00°
Space group P-6m2 (No. 187)
Symmetry-distinct sites (fractional):
Er 0.0000 0.0000 0.0000 (multiplicity 1)
Sn 0.6667 0.3333 0.5000 (multiplicity 1)